Entry 1:
This record from the Alexandria database describes TaSiSe after structural relaxation. The functional is GGA-PBE.

Properties
Space-group type   F-43m (216)
Density of states at the Fermi level   1.5 states/eV per cell
E_form (uncorrected)   0.315 eV/atom

```
TaSiSe
1.0
0.000 3.127 3.127
3.127 0.000 3.127
3.127 3.127 0.000
Ta Si Se
1 1 1
Direct
0.000 0.000 0.000
0.750 0.750 0.750
0.250 0.250 0.250
```


Entry 2:
This record from the Alexandria database describes Ta2SiSe after structural relaxation. The functional is GGA-PBE.

Properties
Space-group type   Cm (8)
Density of states at the Fermi level   1.4 states/eV per cell
E_form (uncorrected)   -0.237 eV/atom

```
Ta2SiSe
1.0
4.627 -1.622 0.000
4.627 1.622 0.000
-1.087 0.000 4.449
Ta Si Se
2 1 1
Direct
0.000 0.000 0.000
0.223 0.223 0.620
0.495 0.495 0.506
0.735 0.735 0.128
```


Entry 3:
This record from the Alexandria database describes Ta11Si2Se8 after structural relaxation. The functional is GGA-PBE.

Properties
Space-group type   Pnnm (58)
Density of states at the Fermi level   11.5 states/eV per cell
E_form (uncorrected)   -0.690 eV/atom

```
Ta11Si2Se8
1.0
11.988 0.000 0.000
0.000 19.610 0.000
0.000 0.000 3.487
Ta Si Se
22 4 16
Direct
0.000 0.000 0.000
0.053 0.240 0.000
0.066 0.113 0.500
0.157 0.787 0.500
0.178 0.952 0.500
0.182 0.355 0.500
0.318 0.855 0.000
0.322 0.452 0.000
0.343 0.287 0.000
0.434 0.613 0.000
0.447 0.740 0.500
0.500 0.500 0.500
0.553 0.260 0.500
0.566 0.387 0.000
0.657 0.713 0.000
0.678 0.548 0.000
0.682 0.145 0.000
0.818 0.645 0.500
0.822 0.048 0.500
0.843 0.213 0.500
0.934 0.887 0.500
0.947 0.760 0.000
0.090 0.872 0.000
0.410 0.372 0.500
0.590 0.628 0.500
0.910 0.128 0.000
0.036 0.674 0.500
0.109 0.445 0.000
0.214 0.056 0.000
0.220 0.212 0.500
0.280 0.712 0.000
0.286 0.556 0.500
0.391 0.945 0.500
0.464 0.174 0.000
0.536 0.826 0.000
0.609 0.055 0.500
0.714 0.444 0.500
0.720 0.288 0.000
0.780 0.788 0.500
0.786 0.944 0.000
0.891 0.555 0.000
0.964 0.326 0.500
```


Entry 4:
This record from the Alexandria database describes Tb4SiSe3 after structural relaxation. The functional is GGA-PBE.

Properties
Space-group type   P2/c (13)
Density of states at the Fermi level   7.6 states/eV per cell
E_form (uncorrected)   -1.604 eV/atom

```
Tb4SiSe3
1.0
7.153 0.000 0.000
0.000 8.269 0.000
-2.377 0.000 6.703
Tb Si Se
8 2 6
Direct
0.238 0.118 0.001
0.238 0.882 0.501
0.241 0.362 0.489
0.241 0.638 0.989
0.759 0.362 0.011
0.759 0.638 0.511
0.762 0.118 0.499
0.762 0.882 0.999
0.000 0.124 0.250
0.000 0.876 0.750
0.000 0.378 0.750
0.000 0.622 0.250
0.500 0.127 0.750
0.500 0.380 0.250
0.500 0.620 0.750
0.500 0.873 0.250
```


The highest E_form (uncorrected) belongs to which entry?
TaSiSe